1.
Density functional theory data (PBE) for an optimized crystal structure of NaTl3In6.

a b c (Å): 11.1191 4.5751 11.8158
angles (deg): 90.00 101.75 90.00
With the nearest neighbours (Å) after each atom.
Space group P2_1/m (No. 11)
One atom of each set of equivalent atoms:
Na 0.2024 0.2500 0.2058 x2  1 Tl 3.18, 8 In 3.22-3.54
Tl 0.0607 0.7500 0.7283 x2  1 Na 3.18, 5 In 3.19-3.44, 3 Tl 3.43-3.47
Tl 0.2951 0.2500 0.8217 x2  8 In 3.33-3.69, 4 Tl 3.37-3.47
Tl 0.3245 0.7500 0.6200 x2  7 In 3.19-3.54, 3 Tl 3.37-3.43
In 0.0257 0.2500 0.9201 x2  5 In 3.09-3.45, 3 Tl 3.30-3.43
In 0.1096 0.2500 0.5244 x2  5 Tl 3.19-3.44, 3 In 3.31-3.37
In 0.2563 0.7500 0.0155 x2  3 Tl 3.33-3.64, 2 Na 3.35, 7 In 3.36-3.47
In 0.3884 0.2500 0.4532 x2  6 In 3.15-3.39, 3 Tl 3.19-3.47, 1 Na 3.22
In 0.4330 0.7500 0.2825 x2  6 In 3.15-3.36, 2 Na 3.42, 1 Tl 3.49
In 0.4788 0.2500 0.0970 x2  7 In 3.28-3.47, 4 Tl 3.39-3.60, 1 Na 3.56

Calculated values
volume = 294 Å³/f.u.
formation energy = 0.02 eV per atom
polymorph energy (0 for the lowest one) = 0 meV/atom

***

2.
Density functional theory data (PBE) for an optimized crystal structure of Na5Tl2In5.

a b c (Å): 17.6486 3.4100 13.2386
angles (deg): 90.00 124.81 90.00
With the nearest neighbours (Å) after each atom.
Space group C2/m (No. 12)
One atom of each set of equivalent atoms:
Na 0.0000 0.0000 0.0000 x2  6 In 3.29-3.44, 4 Tl 3.38, 2 Na 3.41
Na 0.1591 0.5000 0.4946 x4  3 Tl 3.27-3.45, 5 Na 3.28-3.57, 4 In 3.32-3.35
Na 0.1685 0.5000 0.7496 x4  7 In 3.28-3.40, 3 Na 3.28-3.41, 2 Tl 3.41
Tl 0.1653 0.5000 0.2524 x4  7 Na 3.27-3.45, 3 In 3.40-3.41, 2 Tl 3.41
In 0.0000 0.0000 0.5000 x2  8 Na 3.32-3.38, 4 In 3.33-3.41
In 0.0040 0.0000 0.7543 x4  5 Na 3.29-3.40, 5 In 3.31-3.41, 2 Tl 3.40
In 0.1680 0.5000 0.9966 x4  5 Na 3.28-3.44, 6 In 3.31-3.41, 1 Tl 3.41

Calculated values
volume = 327 Å³/f.u.
formation energy = -0.09 eV per atom

***

3.
Density functional theory data (PBE) for an optimized crystal structure of NaTl3In.

a b c (Å): 5.8530 5.8530 5.8530
angles (deg): 90.00 90.00 90.00
With the nearest neighbours (Å) after each atom.
Space group Pm-3m (No. 221)
One atom of each set of equivalent atoms:
Na 0.0000 0.0000 0.0000 x1  12 Tl 4.14
Tl 0.0000 0.5000 0.5000 x3  2 In 2.93
In 0.5000 0.5000 0.5000 x1  6 Tl 2.93

Calculated values
volume = 201 Å³/f.u.
formation energy = 0.21 eV per atom
polymorph energy (0 for the lowest one) = 264 meV/atom

***

4.
Density functional theory data (PBE) for an optimized crystal structure of Na4Tl15In.

a b c (Å): 4.8762 4.8762 24.5382
angles (deg): 90.00 90.00 90.00
With the nearest neighbours (Å) after each atom.
Space group P4/mmm (No. 123)
One atom of each set of equivalent atoms:
Na 0.0000 0.0000 0.0988 x2  12 Tl 3.44-3.45
Na 0.0000 0.0000 0.2966 x2  12 Tl 3.44-3.49
Tl 0.0000 0.5000 0.0000 x2  4 Na 3.44, 8 Tl 3.45-3.46
Tl 0.0000 0.5000 0.1976 x4  8 Tl 3.42-3.45, 4 Na 3.44
Tl 0.0000 0.5000 0.3984 x4  8 Tl 3.45-3.49, 2 In 3.49, 2 Na 3.49
Tl 0.5000 0.5000 0.1002 x2  8 Tl 3.42-3.46, 4 Na 3.45
Tl 0.5000 0.5000 0.2966 x2  8 Tl 3.44-3.49, 4 Na 3.45
Tl 0.5000 0.5000 0.5000 x1  4 In 3.45, 8 Tl 3.49
In 0.0000 0.0000 0.5000 x1  12 Tl 3.45-3.49

Calculated values
volume = 583 Å³/f.u.
formation energy = -0.05 eV per atom

***

5.
Density functional theory data (PBE) for an optimized crystal structure of Na2TlIn9.

a b c (Å): 4.7351 4.7351 14.3821
angles (deg): 90.00 90.00 90.00
With the nearest neighbours (Å) after each atom.
Space group P4/mmm (No. 123)
One atom of each set of equivalent atoms:
Na 0.0000 0.0000 0.1611 x2  12 In 3.31-3.35
Tl 0.0000 0.0000 0.5000 x1  12 In 3.35-3.46
In 0.0000 0.5000 0.0000 x2  8 In 3.29-3.35, 4 Na 3.31
In 0.0000 0.5000 0.3245 x4  2 Na 3.34, 8 In 3.35-3.46, 2 Tl 3.46
In 0.5000 0.5000 0.1583 x2  8 In 3.29-3.36, 4 Na 3.35
In 0.5000 0.5000 0.5000 x1  4 Tl 3.35, 8 In 3.46

Calculated values
volume = 322 Å³/f.u.
formation energy = -0.04 eV per atom

***

6.
Density functional theory data (PBE) for an optimized crystal structure of NaTl4In2.

a b c (Å): 8.9490 9.7750 9.8136
angles (deg): 90.00 90.00 90.00
With the nearest neighbours (Å) after each atom.
Space group I2_12_12_1 (No. 24)
One atom of each set of equivalent atoms:
Na 0.1253 0.0000 0.2500 x4  8 Tl 3.32-3.36
Tl 0.0649 0.0761 0.5791 x8  3 In 3.24-3.42, 2 Na 3.32-3.36, 3 Tl 3.46-3.59
Tl 0.1854 0.3300 0.3270 x8  3 In 3.24-3.42, 2 Na 3.33-3.36, 3 Tl 3.46-3.59
In 0.0000 0.2500 0.8539 x4  2 In 3.00, 4 Tl 3.24-3.31
In 0.2500 0.3935 0.0000 x4  2 In 3.00, 4 Tl 3.24-3.32

Calculated values
volume = 215 Å³/f.u.
formation energy = 0.01 eV per atom
polymorph energy (0 for the lowest one) = 37 meV/atom

***

| no. | calculated total energy (eV per atom) | size of the total moment (μB per formula unit) |
| --- | --- | --- |
| 1 | -2.4636 | 0.00 |
| 2 | -2.1758 | 0.00 |
| 3 | -2.0201 | 0.00 |
| 4 | -2.2211 | 0.00 |
| 5 | -2.5106 | 0.00 |
| 6 | -2.3153 | 0.00 |